[1]
CsDyI4 | PBE | relaxed

```
CsDyI4
1.0
-0.4712 -3.0979 -5.2735
8.2639 -2.7179 0.8582
-3.3809 -7.6405 8.3583
I Dy Cs
8 2 2
Cartesian
-1.1743 -10.0148 2.4205
3.1525 -6.7947 0.1422
5.6918 -3.4764 1.5336
-0.9379 -4.5806 -0.7930
-1.4812 -5.7604 3.5163
2.0868 -7.8026 4.3973
3.2143 -3.2743 -1.9315
4.3770 -11.2278 6.2048
-0.7466 -8.2617 4.9201
5.4619 -5.2946 -0.9454
1.6269 -3.6803 2.0166
4.0986 -10.2082 2.0629
```

The calculation puts the formation energy (no corrections) at -1.430 eV per atom. Its density of states at the Fermi level is 0.0000 states/eV per atom. For the offset from the most stable computed form, the calculation gives 0.16 eV per formula unit. The calculation puts the total moment at 0.000 μB per atom.


[2]
Cs2DyI6 | PBE | relaxed

```
Cs2DyI6
1.0
4.8401 0.0000 0.0000
0.0000 9.8198 0.0000
0.0000 -4.9099 8.5111
Dy I Cs
1 6 2
Cartesian
2.4200 0.0024 0.0000
2.4200 1.6835 2.9235
0.0000 2.1899 0.0000
0.0000 8.7265 1.8944
2.4200 6.5934 5.5876
2.4200 6.4509 0.0000
0.0000 3.8166 6.6167
0.0000 4.9082 2.8384
0.0000 -0.0017 5.6727
```

The calculation puts the formation energy (no corrections) at -1.169 eV per atom. Its density of states at the Fermi level is 1.4522 states/eV per atom. The calculation puts the total moment at 0.080 μB per atom.


[3]
CsDy2I7 | PBE | relaxed

```
CsDy2I7
1.0
-6.0570 -0.1041 -0.0236
0.1632 -9.2203 -1.2273
-0.0866 3.0428 8.7909
I Dy Cs
7 2 1
Cartesian
-2.9790 -2.9376 0.0048
-0.0121 -0.6143 5.8033
-3.0014 -3.3439 7.5352
0.0887 -5.5632 1.7603
-3.0492 0.5077 2.8193
-2.9902 -3.1408 3.7700
-2.9312 -6.7892 4.7206
-2.9408 -5.5668 1.7881
-3.0396 -0.7147 5.7519
0.0000 0.0000 0.0000
```

The calculation puts the formation energy (no corrections) at -1.364 eV per atom. Its density of states at the Fermi level is 0.0000 states/eV per atom. The calculation puts the total moment at 0.000 μB per atom.


[4]
Cs2DyI6 | PBE | relaxed

```
Cs2DyI6
1.0
-0.0270 6.4669 -5.4227
-2.9273 -7.5400 -2.4098
-12.9736 3.6319 4.3958
I Cs Dy
12 4 2
Cartesian
-11.8225 7.3514 -1.0948
-7.2897 -3.9010 -1.2630
-9.5939 1.7331 -1.1657
-13.3171 3.5018 -2.3251
-7.3035 -0.5993 -4.0315
-9.5804 -1.4969 1.5428
-3.1060 -0.0779 -3.3647
-3.1195 3.1522 -6.0732
-5.7951 -0.0515 -0.0326
-11.8087 4.0497 1.6738
-11.0560 -2.0329 -2.3694
-1.6439 3.6881 -2.1610
-8.1396 2.2787 2.7579
-1.6528 0.4627 0.5600
-5.8748 3.1644 -2.7646
-13.3283 0.3114 0.4376
-10.7423 4.5271 -1.1153
-5.2223 -1.9579 -2.3089
```

The calculation puts the formation energy (no corrections) at -1.266 eV per atom. Its density of states at the Fermi level is 1.8183 states/eV per atom. The calculation puts the total moment at 0.000 μB per atom.


[5]
CsDyI3 | PBE | relaxed

```
CsDyI3
1.0
8.5915 0.0000 0.0000
0.0000 8.5802 0.0000
0.0000 0.0000 12.1872
Cs I Dy
4 12 4
Cartesian
0.0017 0.0001 3.0468
4.2975 4.2900 9.1404
4.2940 4.2903 3.0468
8.5897 8.5801 9.1404
6.5078 2.0807 0.0114
0.0161 4.2913 3.0468
2.0837 6.4996 6.1050
2.0837 6.4996 12.1759
2.2120 2.2094 6.1050
6.3795 6.3708 6.0822
6.5078 2.0807 6.0822
2.2120 2.2094 12.1759
4.2796 0.0012 3.0468
8.5754 4.2890 9.1404
6.3795 6.3708 0.0114
4.3119 8.5791 9.1404
4.2957 0.0000 0.0000
0.0000 4.2901 0.0000
4.2957 0.0000 6.0936
0.0000 4.2901 6.0936
```

The calculation puts the formation energy (no corrections) at -1.249 eV per atom. Its density of states at the Fermi level is 0.4950 states/eV per atom. The calculation puts the total moment at 0.000 μB per atom.


[6]
CsDyI3 | PBE | relaxed

```
CsDyI3
1.0
6.0808 0.0000 0.0000
0.0000 6.0808 0.0000
0.0000 0.0000 6.0808
I Cs Dy
3 1 1
Cartesian
0.0000 3.0404 0.0000
0.0000 0.0000 3.0404
3.0404 0.0000 0.0000
3.0404 3.0404 3.0404
0.0000 0.0000 0.0000
```

The calculation puts the formation energy (no corrections) at -1.248 eV per atom. Its density of states at the Fermi level is 0.7043 states/eV per atom. The calculation puts the total moment at 0.003 μB per atom.


[7]
CsK2DyI6 | PBE | relaxed

```
CsK2DyI6
1.0
8.8399 0.0003 0.0002
4.4202 7.6557 -0.0003
4.4197 2.5519 7.8237
I K Dy Cs
6 2 1 1
Cartesian
12.1018 4.8309 1.8256
6.4364 4.9591 6.0830
7.4460 8.0660 1.8258
6.9714 2.4154 1.8265
9.9165 7.2576 6.0831
10.1673 3.0951 6.0830
4.4199 2.5519 7.6236
8.8403 5.1041 3.3371
4.4200 2.5521 0.1484
13.2593 7.6555 4.4009
```

The calculation puts the formation energy (no corrections) at -1.460 eV per atom. Its density of states at the Fermi level is 0.0000 states/eV per atom. The calculation puts the total moment at 0.000 μB per atom.


[8]
CsLiDyI5 | PBE | relaxed

```
CsLiDyI5
1.0
8.6971 0.0178 -0.0574
-2.5218 8.3235 -0.0574
-2.6326 -3.5560 10.6878
I Li Dy Cs
10 2 2 2
Cartesian
-1.2365 5.3722 6.3395
1.1161 3.1222 9.8153
-3.2728 2.6217 9.5776
-2.4051 6.8609 2.6146
6.8155 2.1636 0.9955
3.9767 3.7569 4.4714
5.9478 -2.0756 7.9585
2.4266 1.6631 0.7578
4.7792 -0.5869 4.2337
-0.4340 1.0284 6.1017
4.5951 1.6784 2.6146
-1.0524 3.1069 7.9585
-1.3163 -1.7780 5.3439
0.0000 0.0000 0.0000
2.8520 0.2164 7.9585
0.6907 4.5689 2.6146
```

The calculation puts the formation energy (no corrections) at -1.381 eV per atom. Its density of states at the Fermi level is 0.0000 states/eV per atom. The calculation puts the total moment at 0.000 μB per atom.


[9]
Cs3Li2DyI9 | PBE | relaxed

```
Cs3Li2DyI9
1.0
8.4569 0.0000 0.0000
-4.2285 7.3239 0.0000
0.0000 0.0000 10.5277
I Cs Li Dy
9 3 2 1
Cartesian
-2.1142 3.6619 0.0000
0.0000 2.4618 3.5129
6.3249 1.2309 7.0148
2.1142 3.6619 0.0000
2.0964 6.0930 3.5129
2.1320 1.2309 7.0148
-2.0964 6.0930 3.5129
4.2284 4.8620 7.0148
4.2285 0.0000 0.0000
0.0000 4.8826 7.0979
4.2285 2.4413 3.4299
0.0000 0.0000 0.0000
4.2285 2.4413 9.0449
0.0000 4.8826 1.4829
0.0000 0.0000 5.2639
```

The calculation puts the formation energy (no corrections) at -1.281 eV per atom. Its density of states at the Fermi level is 1.0644 states/eV per atom. The calculation puts the total moment at 0.000 μB per atom.


[10]
CsLiDy2I8 | PBE | relaxed

```
CsLiDy2I8
1.0
7.9181 0.0000 0.0000
-3.9591 6.8573 0.0000
0.0000 0.0000 9.6133
I Dy Cs Li
8 2 1 1
Cartesian
-0.9251 2.4861 1.4469
5.3025 0.4419 8.1665
0.0000 4.5715 5.7557
-1.3435 6.4154 1.4469
3.9591 2.2858 3.8577
2.2685 4.8131 1.4469
4.8841 4.3711 8.1665
1.6905 2.0442 8.1665
0.0000 4.5715 8.7328
3.9591 2.2858 0.8805
0.0000 0.0000 4.8067
0.0000 0.0000 0.0000
```

The calculation puts the formation energy (no corrections) at -1.324 eV per atom. Its density of states at the Fermi level is 0.0000 states/eV per atom. The calculation puts the total moment at 0.000 μB per atom.


[11]
Cs2Li2DyI6 | PBE | relaxed

```
Cs2Li2DyI6
1.0
-7.2056 -3.1683 3.7345
4.8079 -4.8460 -4.9974
3.7626 0.8113 7.9481
Cs I Li Dy
2 6 2 1
Cartesian
-2.4535 -4.0165 2.0213
3.8183 -3.1865 4.6639
2.0252 -3.1221 1.2588
1.1877 -0.7111 6.8584
3.7171 -4.9353 -2.0078
-2.3522 -2.2676 8.6931
-0.6603 -4.0809 5.4265
0.1772 -6.4918 -0.1731
1.2191 -0.6720 1.7821
0.1457 -6.5309 4.9031
-1.7215 -1.1785 5.8413
```

The calculation puts the formation energy (no corrections) at -1.231 eV per atom. Its density of states at the Fermi level is 0.2690 states/eV per atom. The calculation puts the total moment at 0.093 μB per atom.


[12]
Cs2LiDyI6 | PBE | relaxed

```
Cs2LiDyI6
1.0
-6.6268 1.6269 5.1298
-0.9110 -4.3309 7.3000
5.1694 8.9459 10.9441
I Dy Cs Li
12 2 4 2
Cartesian
2.5202 5.1111 15.8412
-0.9276 2.3098 8.7841
-2.0130 -1.8667 8.6244
-5.3470 -1.0482 11.2053
-0.9931 6.0610 11.0014
-1.3754 0.1808 12.3724
-4.1851 3.1095 11.3057
2.9785 7.2900 12.1686
-0.3555 8.1085 14.7494
-1.4409 3.9320 14.5898
-4.8886 1.1307 7.5326
1.8166 3.1323 12.0682
-3.1393 0.6148 9.9561
0.7708 5.6270 13.4178
-4.7256 0.9009 14.9195
-1.5538 0.3277 4.9921
2.3571 5.3409 8.4544
-0.8147 5.9141 18.3818
-1.1842 3.1209 11.6869
0.0000 0.0000 0.0000
```

The calculation puts the formation energy (no corrections) at -1.444 eV per atom. Its density of states at the Fermi level is 0.0000 states/eV per atom. The calculation puts the total moment at 0.000 μB per atom.


Q: Number 6 is which compound?
A: CsDyI3


Q: Look up the total moment of the second one.
A: 0.080 μB per atom


Q: Among the records above, which one has the highest total moment?
A: Cs2Li2DyI6


Q: Which of these has the highest formation energy (no corrections)?
A: number 2